1.
# PBEsol SiSnO3, relaxed
data_SiSnO3
_chemical_formula_sum 'Si12 Sn12 O36'
_symmetry_space_group_name_H-M 'P 1 2/c 1'
_symmetry_Int_Tables_number 13
_cell_length_a 11.357
_cell_length_b 6.954
_cell_length_c 12.961
_cell_angle_alpha 90.00
_cell_angle_beta 120.75
_cell_angle_gamma 90.00
loop_
_symmetry_equiv_pos_as_xyz
'x,y,z'
'-x,-y,-z'
'-x,y,-z+1/2'
'x,-y,z+1/2'
loop_
_atom_site_label
_atom_site_type_symbol
_atom_site_fract_x
_atom_site_fract_y
_atom_site_fract_z
Si1 Si 0.040 0.128 0.156
Si2 Si 0.248 0.177 0.544
Si3 Si 0.357 0.407 0.396
Sn1 Sn 0.074 0.371 0.667
Sn2 Sn 0.281 0.321 0.100
Sn3 Sn 0.375 0.040 0.825
O1 O 0.000 0.224 0.250
O2 O 0.102 0.304 0.115
O3 O 0.106 0.054 0.460
O4 O 0.146 0.051 0.715
O5 O 0.217 0.366 0.602
O6 O 0.248 0.421 0.832
O7 O 0.311 0.245 0.461
O8 O 0.355 0.032 0.650
O9 O 0.381 0.279 0.301
O10 O 0.500 0.500 0.000
# **Calculated volume**: 879.7 Å³/cell
# **Fermi-level density of states**: 0.00 states/eV per cell
# **Formation energy (no corrections)**: -2.181 eV per atom

2.
# PBEsol NbZnS2, relaxed
data_NbZnS2
_chemical_formula_sum 'Nb3 Zn3 S6'
_symmetry_space_group_name_H-M 'R -3 m'
_symmetry_Int_Tables_number 166
_symmetry_space_group_name_Hall '-R 3 2"'
_cell_length_a 3.3773
_cell_length_b 3.3773
_cell_length_c 22.6354
_cell_angle_alpha 90.00
_cell_angle_beta 90.00
_cell_angle_gamma 120.00
loop_
_atom_site_label
_atom_site_type_symbol
_atom_site_fract_x
_atom_site_fract_y
_atom_site_fract_z
Nb1 Nb 0.0000 0.0000 0.0000
Zn1 Zn 0.0000 0.0000 0.5000
S1 S 0.0000 0.0000 0.1030
# **Calculated volume**: 223.6 Å³/cell
# **Fermi-level density of states**: 12.07 states/eV per cell
# **Formation energy (no corrections)**: -0.056 eV per atom

The calculation returns the following E_tot values, one per record and in order: -0.26943, -0.19657 Ha/atom.